# 1
This record from Alexandria via LeMat-Bulk describes crystalline Eu2SnPt at its relaxed geometry. The functional is PBE-GGA.

abc: 7.513 7.513 7.513
angles: 90.00 90.00 90.00
Space group Fm-3m (No. 225)
Inequivalent atoms, fractional coordinates:
Eu  0.250  0.250  0.250 x8
Sn  0.000  0.000  0.000 x4
Pt  0.000  0.000  0.500 x4

## Properties
* N(E_F): 73.69 states/eV/cell
* energy relative to the elements: -2.639 eV/f.u.

# 2
This record from Alexandria via LeMat-Bulk describes crystalline Tb12Pm5Dy2 at its relaxed geometry. The functional is PBE-GGA.

abc: 15.682 9.277 8.684
angles: 90.00 92.48 90.00
Space group C2/m (No. 12)
Inequivalent atoms, fractional coordinates:
Tb  0.056  0.000  0.339 x4
Tb  0.072  0.500  0.875 x4
Tb  0.130  0.192  0.673 x8
Tb  0.147  0.320  0.240 x8
Pm  0.000  0.500  0.500 x2
Pm  0.208  0.000  0.024 x4
Pm  0.231  0.500  0.570 x4
Dy  0.000  0.172  0.000 x4

## Properties
* N(E_F): 49.58 states/eV/cell
* energy relative to the elements: 2.280 eV/f.u.

# 3
This record from Alexandria via LeMat-Bulk describes crystalline RbCd2NiPt at its relaxed geometry. The functional is PBE-GGA.

abc: 4.968 4.968 5.440
angles: 90.00 90.00 90.00
Space group P4/mmm (No. 123)
Inequivalent atoms, fractional coordinates:
Rb  0.000  0.000  0.000 x1
Cd  0.000  0.500  0.500 x2
Ni  0.000  0.000  0.500 x1
Pt  0.500  0.500  0.000 x1

## Properties
* N(E_F): 4.10 states/eV/cell
* energy relative to the elements: 3.457 eV/f.u.

# 4
This record from Alexandria via LeMat-Bulk describes crystalline Ca2InRu at its relaxed geometry. The functional is PBE-GGA.

abc: 3.525 3.525 7.766
angles: 90.00 90.00 90.00
Space group P4/mmm (No. 123)
Inequivalent atoms, fractional coordinates:
Ca  0.000  0.000  0.211 x2
In  0.500  0.500  0.500 x1
Ru  0.500  0.500  0.000 x1

## Properties
* N(E_F): 5.35 states/eV/cell
* energy relative to the elements: 0.083 eV/f.u.

# 5
This record from Alexandria via LeMat-Bulk describes crystalline CsTl2NiBr5 at its relaxed geometry. The functional is PBE-GGA.

abc: 9.103 9.103 15.446
angles: 90.00 90.00 90.00
Space group I4/mcm (No. 140)
Inequivalent atoms, fractional coordinates:
Cs  0.000  0.000  0.250 x4
Tl  0.165  0.335  0.000 x8
Ni  0.000  0.500  0.250 x4
Br  0.000  0.000  0.000 x4
Br  0.138  0.362  0.353 x16

## Properties
* N(E_F): 21.04 states/eV/cell
* raw formation energy: -0.867 eV per atom

# 6
This record from Alexandria via LeMat-Bulk describes crystalline AsPS2I at its relaxed geometry. The functional is PBE-GGA.

abc: 4.621 4.621 5.418
angles: 90.00 90.00 90.00
Space group P4/mmm (No. 123)
Inequivalent atoms, fractional coordinates:
As  0.000  0.000  0.000 x1
P  0.000  0.000  0.500 x1
S  0.000  0.500  0.000 x2
I  0.500  0.500  0.500 x1

## Properties
* N(E_F): 3.92 states/eV/cell
* raw formation energy: 0.759 eV per atom

# 7
This record from Alexandria via LeMat-Bulk describes crystalline Tl2FeBr8 at its relaxed geometry. The functional is PBE-GGA.

abc: 14.617 7.252 9.687
angles: 90.00 106.49 90.00
Space group C2/m (No. 12)
Inequivalent atoms, fractional coordinates:
Tl  0.232  0.000  0.322 x4
Fe  0.000  0.000  0.000 x2
Br  0.098  0.233  0.137 x8
Br  0.105  0.500  0.729 x4
Br  0.202  0.000  0.575 x4

## Properties
* N(E_F): 8.97 states/eV/cell
* raw formation energy: -0.396 eV per atom

# 8
This record from Alexandria via LeMat-Bulk describes crystalline Tm4Rh3Au at its relaxed geometry. The functional is PBE-GGA.

abc: 4.808 4.808 6.943
angles: 90.00 90.00 90.00
Space group P4/mmm (No. 123)
Inequivalent atoms, fractional coordinates:
Tm  0.000  0.500  0.242 x4
Rh  0.000  0.000  0.000 x1
Rh  0.000  0.000  0.500 x1
Rh  0.500  0.500  0.000 x1
Au  0.500  0.500  0.500 x1

## Properties
* N(E_F): 6.55 states/eV/cell
* energy relative to the elements: -7.358 eV/f.u.

# 9
This record from Alexandria via LeMat-Bulk describes crystalline TaReOF2 at its relaxed geometry. The functional is PBE-GGA.

abc: 4.464 4.464 3.715
angles: 90.00 90.00 90.00
Space group P4/mmm (No. 123)
Inequivalent atoms, fractional coordinates:
Ta  0.000  0.000  0.000 x1
Re  0.500  0.500  0.500 x1
O  0.500  0.500  0.000 x1
F  0.000  0.500  0.500 x2

## Properties
* N(E_F): 5.05 states/eV/cell
* raw formation energy: 0.080 eV per atom

# 10
This record from Alexandria via LeMat-Bulk describes crystalline Ta2MnNi at its relaxed geometry. The functional is PBE-GGA.

abc: 3.741 3.741 8.435
angles: 90.00 90.00 90.00
Space group I-4m2 (No. 119)
Inequivalent atoms, fractional coordinates:
Ta  0.000  0.000  0.000 x2
Ta  0.000  0.500  0.250 x2
Mn  0.000  0.500  0.750 x2
Ni  0.000  0.000  0.500 x2

## Properties
* N(E_F): 9.63 states/eV/cell
* energy relative to the elements: 0.086 eV/f.u.

# 11
This record from Alexandria via LeMat-Bulk describes crystalline Ti2V3Ge4 at its relaxed geometry. The functional is PBE-GGA.

abc: 6.635 6.631 6.514
angles: 90.00 110.20 90.00
Space group P2_1/c (No. 14)
Inequivalent atoms, fractional coordinates:
Ti  0.184  0.170  0.049 x4
V  0.251  0.672  0.244 x4
V  0.500  0.000  0.500 x2
Ge  0.081  0.535  0.845 x4
Ge  0.487  0.136  0.861 x4

## Properties
* N(E_F): 9.44 states/eV/cell
* energy relative to the elements: -4.591 eV/f.u.

# 12
This record from Alexandria via LeMat-Bulk describes crystalline CaTc2As at its relaxed geometry. The functional is PBE-GGA.

abc: 4.458 4.458 18.174
angles: 90.00 90.00 90.00
Space group I-42d (No. 122)
Inequivalent atoms, fractional coordinates:
Ca  0.000  0.000  0.000 x4
Tc  0.074  0.250  0.625 x8
As  0.000  0.000  0.500 x4

## Properties
* N(E_F): 18.31 states/eV/cell
* energy relative to the elements: 1.273 eV/f.u.

# 13
This record from Alexandria via LeMat-Bulk describes crystalline MgCu2Pd2 at its relaxed geometry. The functional is PBE-GGA.

abc: 7.149 7.149 2.998
angles: 90.00 90.00 90.00
Space group P4/mbm (No. 127)
Inequivalent atoms, fractional coordinates:
Mg  0.000  0.000  0.000 x2
Cu  0.156  0.344  0.500 x4
Pd  0.141  0.641  0.000 x4

## Properties
* N(E_F): 3.28 states/eV/cell
* energy relative to the elements: -0.981 eV/f.u.

# 14
This record from Alexandria via LeMat-Bulk describes crystalline TaTe2W2Se4 at its relaxed geometry. The functional is PBE-GGA.

abc: 3.3990 3.3990 22.6898
angles: 90.00 90.00 120.00
Space group P3m1 (No. 156)
Inequivalent atoms, fractional coordinates:
Ta  0.0000  0.0000  0.0000 x1
Te  0.6667  0.3333  0.0879 x1
Te  0.6667  0.3333  0.9121 x1
W  0.0000  0.0000  0.6425 x1
W  0.6667  0.3333  0.3305 x1
Se  0.0000  0.0000  0.2576 x1
Se  0.0000  0.0000  0.4034 x1
Se  0.6667  0.3333  0.5696 x1
Se  0.6667  0.3333  0.7154 x1

## Properties
* N(E_F): 4.42 states/eV/cell
* raw formation energy: -0.430 eV per atom

# 15
This record from Alexandria via LeMat-Bulk describes crystalline PmMgTc4 at its relaxed geometry. The functional is PBE-GGA.

abc: 7.570 7.570 7.570
angles: 90.00 90.00 90.00
Space group F-43m (No. 216)
Inequivalent atoms, fractional coordinates:
Pm  0.000  0.000  0.000 x4
Mg  0.250  0.250  0.750 x4
Tc  0.125  0.125  0.375 x16

## Properties
* N(E_F): 17.09 states/eV/cell
* energy relative to the elements: 0.490 eV/f.u.

# 16
This record from Alexandria via LeMat-Bulk describes crystalline Ac4Pt3F at its relaxed geometry. The functional is PBE-GGA.

abc: 7.556 4.383 7.683
angles: 90.00 108.57 90.00
Space group Pm (No. 6)
Inequivalent atoms, fractional coordinates:
Ac  0.000  0.000  0.000 x1
Ac  0.023  0.500  0.498 x1
Ac  0.508  0.000  0.492 x1
Ac  0.544  0.500  0.026 x1
Pt  0.262  0.500  0.234 x1
Pt  0.759  0.500  0.744 x1
Pt  0.769  0.000  0.255 x1
F  0.219  0.000  0.621 x1

## Properties
* N(E_F): 4.30 states/eV/cell
* raw formation energy: -1.552 eV per atom

# 17
This record from Alexandria via LeMat-Bulk describes crystalline AcHg3Pd at its relaxed geometry. The functional is PBE-GGA.

abc: 9.586 4.646 11.618
angles: 90.00 90.00 90.00
Space group Pnma (No. 62)
Inequivalent atoms, fractional coordinates:
Ac  0.214  0.250  0.006 x4
Hg  0.057  0.250  0.402 x4
Hg  0.082  0.750  0.191 x4
Hg  0.147  0.750  0.801 x4
Pd  0.132  0.250  0.642 x4

## Properties
* N(E_F): 11.32 states/eV/cell
* energy relative to the elements: -2.078 eV/f.u.

# 18
This record from Alexandria via LeMat-Bulk describes crystalline TlMo2Pt at its relaxed geometry. The functional is PBE-GGA.

abc: 3.945 3.945 8.793
angles: 90.00 90.00 90.00
Space group I4/mmm (No. 139)
Inequivalent atoms, fractional coordinates:
Tl  0.000  0.000  0.000 x2
Mo  0.000  0.500  0.250 x4
Pt  0.000  0.000  0.500 x2

## Properties
* N(E_F): 5.61 states/eV/cell
* energy relative to the elements: 1.121 eV/f.u.

# 19
This record from Alexandria via LeMat-Bulk describes crystalline CePaAu2O8 at its relaxed geometry. The functional is PBE-GGA.

abc: 7.124 7.124 7.234
angles: 90.00 90.00 90.00
Space group I-4m2 (No. 119)
Inequivalent atoms, fractional coordinates:
Ce  0.000  0.000  0.000 x2
Pa  0.000  0.500  0.250 x2
Au  0.000  0.000  0.500 x2
Au  0.000  0.500  0.750 x2
O  0.000  0.186  0.274 x8
O  0.000  0.326  0.975 x8

## Properties
* N(E_F): 16.48 states/eV/cell
* raw formation energy: -1.573 eV per atom

# 20
This record from Alexandria via LeMat-Bulk describes crystalline InSnCl2F at its relaxed geometry. The functional is PBE-GGA.

abc: 8.118 4.166 8.681
angles: 90.00 107.36 90.00
Space group P2_1/m (No. 11)
Inequivalent atoms, fractional coordinates:
In  0.192  0.250  0.386 x2
Sn  0.346  0.750  0.827 x2
Cl  0.132  0.250  0.861 x2
Cl  0.479  0.750  0.298 x2
F  0.186  0.750  0.586 x2

## Properties
* N(E_F): 0.00 states/eV/cell
* raw formation energy: -1.302 eV per atom

# 21
This record from Alexandria via LeMat-Bulk describes crystalline Rb3UF6 at its relaxed geometry. The functional is PBE-GGA.

abc: 6.819 7.037 11.771
angles: 90.00 124.48 90.00
Space group P2_1/c (No. 14)
Inequivalent atoms, fractional coordinates:
Rb  0.000  0.000  0.000 x2
Rb  0.226  0.046  0.743 x4
U  0.500  0.000  0.500 x2
F  0.179  0.181  0.451 x4
F  0.247  0.740  0.422 x4
F  0.397  0.064  0.280 x4

## Properties
* N(E_F): 15.16 states/eV/cell
* raw formation energy: -3.011 eV per atom

# 22
This record from Alexandria via LeMat-Bulk describes crystalline CrAg6Cl12 at its relaxed geometry. The functional is PBE-GGA.

abc: 10.9586 10.9586 14.9611
angles: 90.00 90.00 120.00
Space group R-3 (No. 148, hexagonal axes)
Inequivalent atoms, fractional coordinates:
Cr  0.0000  0.0000  0.0000 x3
Ag  0.0401  0.7740  0.6689 x18
Cl  0.0233  0.8244  0.3787 x18
Cl  0.0823  0.8825  0.9092 x18

## Properties
* N(E_F): 24.36 states/eV/cell
* raw formation energy: -0.544 eV per atom